Material: NiPdPtO4
Method: DFT, PBE with a Hubbard U
State: optimized geometry

## Properties
Space-group type: Imma, No. 74
E in Ry/atom: -0.3830
Size of the total moment in Bohr magnetons per cell: 3.7

Unit cell a=6.1052 b=6.2910 c=6.4951 alpha=121.08 beta=90.00 gamma=119.03
Closest atoms and distances in Å follow each position.
Fractional coordinates of all 14 atoms:
O1 0.2701 0.5401 0.3248  2 Pt 1.99, 1 Ni 2.03, 1 Pd 2.07
O2 0.2701 0.5401 0.7153  2 Pt 1.99, 1 Ni 2.03, 1 Pd 2.07
O3 0.7299 0.4599 0.2847  2 Pt 1.99, 1 Ni 2.03, 1 Pd 2.07
O4 0.6192 0.8314 0.1657  2 Ni 2.14-2.17, 2 Pd 2.18
O5 0.3808 0.1686 0.8343  2 Ni 2.14-2.17, 2 Pd 2.18
O6 0.7878 0.1686 0.8343  2 Ni 2.14-2.17, 2 Pd 2.18
O7 0.7299 0.4599 0.6752  2 Pt 1.99, 1 Ni 2.03, 1 Pd 2.07
O8 0.2122 0.8314 0.1657  2 Ni 2.14-2.17, 2 Pd 2.18
Pd1 0.5000 0.0000 0.5000  6 O 2.07-2.18
Pd2 0.5000 0.0000 0.0000  6 O 2.07-2.18
Pt1 0.5000 0.5000 0.5000  4 O 1.99
Pt2 0.0000 0.5000 0.5000  4 O 1.99
Ni1 0.2197 0.4394 0.9697  6 O 2.03-2.17
Ni2 0.7803 0.5606 0.0303  6 O 2.03-2.17